The following is a DFT calculation (PBE+U) of an optimized crystal structure of HfIn2MoO.

Output
* calculated total energy: -5.23 eV per atom
* magnetic moment: 1.17 μB per formula unit

Unit cell a=5.573 b=3.723 c=5.573 alpha=90.00 beta=90.00 gamma=90.00
Each line ends with the local moment (μB).
Positions (direct):
Mo 0.000 0.000 0.000  1.79
Hf 0.500 0.500 0.500  -0.32
O 0.000 0.500 0.000  -0.15
In 0.000 0.000 0.500  -0.01
In 0.500 0.000 0.000  -0.04